(1)
The following is a PBE calculation of crystalline NdErMgRh at its relaxed geometry, from Alexandria via LeMat-Bulk.

Values from the calculation:
- total moment (μB/cell) = 0.0
- SG = F-43m
- mass density (Mg/m³) = 7.69
- E_form (eV per formula unit) = -1.4

Unit cell a=7.236 b=7.236 c=7.236 alpha=90.00 beta=90.00 gamma=90.00
Fractional positions:
Nd 0.000 0.000 0.000
Nd 0.000 0.500 0.500
Nd 0.500 0.000 0.500
Nd 0.500 0.500 0.000
Er 0.000 0.000 0.500
Er 0.000 0.500 0.000
Er 0.500 0.000 0.000
Er 0.500 0.500 0.500
Mg 0.250 0.250 0.250
Mg 0.250 0.750 0.750
Mg 0.750 0.250 0.750
Mg 0.750 0.750 0.250
Rh 0.250 0.250 0.750
Rh 0.250 0.750 0.250
Rh 0.750 0.250 0.250
Rh 0.750 0.750 0.750


(2)
The following is a PBE calculation of crystalline SrZnSiSn2 at its relaxed geometry, from Alexandria via LeMat-Bulk.

Values from the calculation:
- total moment (μB/cell) = 0.0
- SG = P4/mmm
- formation energy (no corrections) (kJ per mole of atoms) = 22.7
- mass density (Mg/m³) = 4.33

Unit cell a=5.214 b=5.214 c=5.904 alpha=90.00 beta=90.00 gamma=90.00
Fractional positions:
Sr 0.000 0.000 0.000
Zn 0.500 0.500 0.000
Si 0.000 0.000 0.500
Sn 0.000 0.500 0.500
Sn 0.500 0.000 0.500